DFT (PBE) results for a relaxed ScSn3F crystal.

Properties
* ρ: 6.0 g cm⁻³
* DOS at the Fermi energy: 3.30 states/eV/f.u.
* space-group type: Pm-3m
* uncorrected formation energy: -0.57 eV per atom
* ΔE to the lowest computed polymorph: 0.000 eV per atom

Cell lengths 4.872, 4.872, 4.872 Å; angles 90.00, 90.00, 90.00 degrees
Fractional coordinates of all 5 atoms:
Sc  0.000  0.000  0.000
Sn  0.000  0.500  0.500
Sn  0.500  0.000  0.500
Sn  0.500  0.500  0.000
F  0.500  0.500  0.500